(1)
# PBE-GGA MgZrReBi, relaxed
data_MgZrReBi
_cell_length_a 4.801
_cell_length_b 4.801
_cell_length_c 4.801
_cell_angle_alpha 60.00
_cell_angle_beta 60.00
_cell_angle_gamma 60.00
_space_group_name_H-M_alt 'P 1'
_space_group_IT_number 1
loop_
_space_group_symop_operation_xyz
'x,y,z'
loop_
_atom_site_label
_atom_site_fract_x
_atom_site_fract_y
_atom_site_fract_z
Bi1 0.500 0.500 0.500
Mg1 0.750 0.750 0.750
Re1 0.250 0.250 0.250
Zr1 0.000 0.000 0.000
# magnetic moment	0.0	μB per formula unit
# space-group type	F-43m (216)
# excess energy over the best structure of this formula in the dataset	0	meV/atom

=====

(2)
# PBE-GGA BaCdSO, relaxed
data_BaCdSO
_cell_length_a 7.723
_cell_length_b 3.769
_cell_length_c 12.867
_cell_angle_alpha 90.00
_cell_angle_beta 90.00
_cell_angle_gamma 90.00
_space_group_name_H-M_alt 'P 1'
_space_group_IT_number 1
loop_
_space_group_symop_operation_xyz
'x,y,z'
loop_
_atom_site_label
_atom_site_fract_x
_atom_site_fract_y
_atom_site_fract_z
Ba1 0.562 0.250 0.217
Ba2 0.062 0.250 0.283
Ba3 0.938 0.750 0.717
Ba4 0.438 0.750 0.783
Cd1 0.184 0.750 0.041
Cd2 0.684 0.750 0.459
Cd3 0.316 0.250 0.541
Cd4 0.816 0.250 0.959
O1 0.272 0.250 0.124
O2 0.772 0.250 0.376
O3 0.228 0.750 0.624
O4 0.728 0.750 0.876
S1 0.852 0.750 0.118
S2 0.352 0.750 0.382
S3 0.648 0.250 0.618
S4 0.148 0.250 0.882
# DFT total energy	-4.39	eV per atom
# space-group type	Pnma (62)

=====

(3)
# PBE-GGA Ba3Ir2O8, relaxed
data_Ba3Ir2O8
_cell_length_a 8.039
_cell_length_b 8.039
_cell_length_c 8.039
_cell_angle_alpha 42.98
_cell_angle_beta 42.98
_cell_angle_gamma 42.98
_space_group_name_H-M_alt 'P 1'
_space_group_IT_number 1
loop_
_space_group_symop_operation_xyz
'x,y,z'
loop_
_atom_site_label
_atom_site_fract_x
_atom_site_fract_y
_atom_site_fract_z
Ba1 0.000 0.000 0.000
Ba2 0.202 0.202 0.202
Ba3 0.798 0.798 0.798
Ir1 0.403 0.403 0.403
Ir2 0.597 0.597 0.597
O1 0.735 0.735 0.222
O2 0.778 0.265 0.265
O3 0.265 0.778 0.265
O4 0.319 0.319 0.319
O5 0.681 0.681 0.681
O6 0.735 0.222 0.735
O7 0.222 0.735 0.735
O8 0.265 0.265 0.778
# magnetic moment	0.0	μB per formula unit
# DFT total energy	-6.36	eV per atom
# space-group type	R-3m (166)

=====

(4)
# PBE-GGA DyY2Er2Tm2Ni2Te2, relaxed
data_DyY2Er2Tm2Ni2Te2
_cell_length_a 3.846
_cell_length_b 9.305
_cell_length_c 9.307
_cell_angle_alpha 113.20
_cell_angle_beta 101.91
_cell_angle_gamma 101.91
_space_group_name_H-M_alt 'P 1'
_space_group_IT_number 1
loop_
_space_group_symop_operation_xyz
'x,y,z'
loop_
_atom_site_label
_atom_site_fract_x
_atom_site_fract_y
_atom_site_fract_z
Dy1 0.522 0.521 0.522
Er1 0.903 0.586 0.217
Er2 0.902 0.216 0.587
Ni1 0.593 0.832 0.352
Ni2 0.593 0.351 0.833
Te1 0.757 0.255 0.257
Te2 0.861 0.860 0.861
Tm1 0.106 0.971 0.239
Tm2 0.107 0.239 0.973
Y1 0.255 0.901 0.608
Y2 0.255 0.607 0.902
# magnetic moment	0.0	μB per formula unit
# space-group type	Cm (8)
# excess energy over the best structure of this formula in the dataset	3	meV/atom

=====

| no. | calculated density (g cm⁻³) |
| --- | --- |
| 1 | 10.84 |
| 2 | 5.28 |
| 3 | 7.01 |
| 4 | 8.11 |